The following is a DFT calculation (PBE) of MnPdN2 after structural relaxation.

CIF file:
```
data_MnPdN2
_space_group_name_H-M_alt 'F m -3 m'
_space_group_IT_number 225
_space_group_name_Hall '-F 4 2 3'
_cell_length_a 5.2897
_cell_length_b 5.2897
_cell_length_c 5.2897
_cell_angle_alpha 90.00
_cell_angle_beta 90.00
_cell_angle_gamma 90.00
loop_
_atom_site_label
_atom_site_fract_x
_atom_site_fract_y
_atom_site_fract_z
Mn1 0.0000 0.0000 0.0000
Pd1 0.0000 0.0000 0.5000
N1 0.2500 0.2500 0.2500
```

Summary:
Raw formation energy = 119 kJ/mol of atoms
DFT total energy = -104.4 eV for the cell shown
Magnetization = 0.00 μB per formula unit
Offset from the most stable computed form = 1076 meV per atom

---

The following is a DFT calculation (PBE) of LaHgAs2 after structural relaxation.

CIF file:
```
data_LaHgAs2
_space_group_name_H-M_alt 'P 4 m m'
_space_group_IT_number 99
_cell_length_a 4.2005
_cell_length_b 4.2005
_cell_length_c 6.0565
_cell_angle_alpha 90.00
_cell_angle_beta 90.00
_cell_angle_gamma 90.00
loop_
_space_group_symop_operation_xyz
'x,y,z'
'-y,x,z'
'-x,-y,z'
'y,-x,z'
'-x,y,z'
'y,x,z'
'x,-y,z'
'-y,-x,z'
loop_
_atom_site_label
_atom_site_fract_x
_atom_site_fract_y
_atom_site_fract_z
La1 0.0000 0.0000 0.0000
Hg1 0.5000 0.5000 0.5942
As1 0.0000 0.0000 0.5115
As2 0.5000 0.5000 0.0960
```

Summary:
DFT total energy = -16.6 eV for the cell shown
Magnetization = 0.00 μB per formula unit
ΔE_f = -0.508 eV per atom

---

The following is a DFT calculation (PBE) of RbSnB after structural relaxation.

CIF file:
```
data_RbSnB
_space_group_name_H-M_alt 'P m m a'
_space_group_IT_number 51
_cell_length_a 3.3066
_cell_length_b 6.3042
_cell_length_c 7.8773
_cell_angle_alpha 90.00
_cell_angle_beta 90.00
_cell_angle_gamma 90.00
loop_
_space_group_symop_operation_xyz
'x,y,z'
'-x,-y,-z'
'-x+1/2,-y,z'
'x+1/2,y,-z'
'x+1/2,-y,-z'
'-x+1/2,y,z'
'-x,y,-z'
'x,-y,z'
loop_
_atom_site_label
_atom_site_fract_x
_atom_site_fract_y
_atom_site_fract_z
Rb1 0.2500 0.0000 0.2282
Sn1 0.2500 0.5000 0.6807
B1 0.0000 0.5000 0.0000
```

Summary:
DFT total energy = -21.4 eV for the cell shown
Magnetization = 0.00 μB per formula unit
ΔE_f = 0.322 eV per atom

---

The following is a DFT calculation (PBE) of MnFeCo after structural relaxation.

CIF file:
```
data_MnFeCo
_space_group_name_H-M_alt 'P -6 m 2'
_space_group_IT_number 187
_space_group_name_Hall 'P -6 2'
_cell_length_a 3.9768
_cell_length_b 3.9768
_cell_length_c 2.4072
_cell_angle_alpha 90.00
_cell_angle_beta 90.00
_cell_angle_gamma 120.00
loop_
_atom_site_label
_atom_site_fract_x
_atom_site_fract_y
_atom_site_fract_z
Mn1 0.0000 0.0000 0.0000
Fe1 0.3333 0.6667 0.5000
Co1 0.6667 0.3333 0.5000
```

Summary:
DFT total energy = -24.3 eV for the cell shown
Magnetization = 2.12 μB per formula unit
ΔE_f = 0.135 eV per atom
Offset from the most stable computed form = 92 meV per atom

---

The following is a DFT calculation (PBE) of Mn2Ga4Cu after structural relaxation.

CIF file:
```
data_Mn2Ga4Cu
_space_group_name_H-M_alt 'I 4/m m m'
_space_group_IT_number 139
_space_group_name_Hall '-I 4 2'
_cell_length_a 6.1231
_cell_length_b 6.1231
_cell_length_c 5.5017
_cell_angle_alpha 90.00
_cell_angle_beta 90.00
_cell_angle_gamma 90.00
loop_
_atom_site_label
_atom_site_fract_x
_atom_site_fract_y
_atom_site_fract_z
Mn1 0.0000 0.5000 0.0000
Ga1 0.2500 0.2500 0.2500
Cu1 0.0000 0.0000 0.0000
```

Summary:
DFT total energy = -70.1 eV for the cell shown
Magnetization = 4.00 μB per formula unit
ΔE_f = -0.071 eV per atom

---

The following is a DFT calculation (PBE) of Ca2Ga6Ir after structural relaxation.

CIF file:
```
data_Ca2Ga6Ir
_space_group_name_H-M_alt 'C 1 2/m 1'
_space_group_IT_number 12
_cell_length_a 10.2767
_cell_length_b 5.8383
_cell_length_c 5.9934
_cell_angle_alpha 90.00
_cell_angle_beta 105.88
_cell_angle_gamma 90.00
loop_
_space_group_symop_operation_xyz
'x,y,z'
'-x,-y,-z'
'-x,y,-z'
'x,-y,z'
'x+1/2,y+1/2,z'
'-x+1/2,-y+1/2,-z'
'-x+1/2,y+1/2,-z'
'x+1/2,-y+1/2,z'
loop_
_atom_site_label
_atom_site_fract_x
_atom_site_fract_y
_atom_site_fract_z
Ca1 0.1471 0.0000 0.3503
Ga1 0.1226 0.5000 0.1844
Ga2 0.1299 0.2270 0.8298
Ir1 0.0000 0.5000 0.5000
```

Summary:
DFT total energy = -70.7 eV for the cell shown
Magnetization = 0.00 μB per formula unit
ΔE_f = -0.482 eV per atom
Offset from the most stable computed form = 0 meV per atom

---

The following is a DFT calculation (PBE) of NaCaNb after structural relaxation.

CIF file:
```
data_NaCaNb
_space_group_name_H-M_alt 'P 1'
_space_group_IT_number 1
_cell_length_a 4.5448
_cell_length_b 6.2462
_cell_length_c 7.1328
_cell_angle_alpha 82.45
_cell_angle_beta 88.99
_cell_angle_gamma 68.74
loop_
_space_group_symop_operation_xyz
'x,y,z'
loop_
_atom_site_label
_atom_site_fract_x
_atom_site_fract_y
_atom_site_fract_z
Na1 0.0000 0.0000 0.0000
Na2 0.3212 0.3709 0.0530
Ca1 0.3975 0.1889 0.5880
Ca2 0.6608 0.6693 0.3057
Nb1 0.1110 0.7375 0.6417
Nb2 0.7122 0.6187 0.7594
```

Summary:
DFT total energy = -23.2 eV for the cell shown
Magnetization = 0.00 μB per formula unit
ΔE_f = 0.597 eV per atom
Offset from the most stable computed form = 410 meV per atom

---

The following is a DFT calculation (PBE) of FeB2N2 after structural relaxation.

CIF file:
```
data_FeB2N2
_space_group_name_H-M_alt 'P 4/m b m'
_space_group_IT_number 127
_space_group_name_Hall '-P 4 2ab'
_cell_length_a 5.6380
_cell_length_b 5.6380
_cell_length_c 2.7043
_cell_angle_alpha 90.00
_cell_angle_beta 90.00
_cell_angle_gamma 90.00
loop_
_atom_site_label
_atom_site_fract_x
_atom_site_fract_y
_atom_site_fract_z
Fe1 0.0000 0.0000 0.0000
B1 0.1999 0.3001 0.5000
N1 0.1782 0.3218 0.0000
```

Summary:
Raw formation energy = 4 kJ/mol of atoms
DFT total energy = -76.5 eV for the cell shown
Magnetization = 0.08 μB per formula unit
Offset from the most stable computed form = 0 meV per atom